Entry 1:
! Li3Ce2Hg4 (GGA-PBE, relaxed); values from VASP
&SYSTEM
  ibrav = 0, nat = 18, ntyp = 3
/
ATOMIC_SPECIES
Li 6.94 Li.upf
Ce 140.12 Ce.upf
Hg 200.59 Hg.upf
CELL_PARAMETERS angstrom
3.1037 -8.0399 0.0000
3.1037 8.0399 0.0000
0.0000 0.0000 8.2756
ATOMIC_POSITIONS angstrom
Li 0.0000 0.0000 0.0000
Li 1.5519 3.5131 2.0689
Li 1.5519 -3.5131 6.2067
Li 3.1037 0.0000 4.1378
Li 4.6556 3.5131 2.0689
Li 4.6556 -3.5131 6.2067
Ce 3.1037 6.1840 3.4523
Ce 3.1037 1.8558 7.5901
Ce 3.1037 -1.8558 0.6855
Ce 3.1037 -6.1840 4.8234
Hg 3.1037 5.0968 0.2896
Hg 1.5519 0.7659 2.0689
Hg 1.5519 -0.7659 6.2067
Hg 3.1037 2.9430 4.4275
Hg 3.1037 -2.9430 3.8482
Hg 4.6556 0.7659 2.0689
Hg 4.6556 -0.7659 6.2067
Hg 3.1037 -5.0968 7.9860
! SG: No. 64
! Excess energy over the best structure of this formula in the dataset in meV/atom: 21
! Energy relative to the elements in meV per atom: -282

Entry 2:
! Li2MnAlS4 (GGA-PBE, relaxed); values from VASP
&SYSTEM
  ibrav = 0, nat = 8, ntyp = 4
/
ATOMIC_SPECIES
Li 6.94 Li.upf
Mn 54.94 Mn.upf
Al 26.98 Al.upf
S 32.06 S.upf
CELL_PARAMETERS angstrom
6.0711 0.0000 0.0000
0.0000 3.5255 0.0000
-1.9930 0.0000 6.0368
ATOMIC_POSITIONS angstrom
Li 0.0000 0.0000 0.0000
Li 3.0355 1.7628 0.0000
Mn -0.9965 1.7628 3.0184
Al 2.0390 0.0000 3.0184
S 0.0591 0.0000 4.3892
S 1.0288 1.7628 1.6693
S 3.0493 1.7628 4.3675
S 4.0190 0.0000 1.6476
! SG: No. 10
! E_form (uncorrected) in eV/f.u.: -8.28

Entry 3:
! SrCaMg2 (GGA-PBE, relaxed); values from VASP
&SYSTEM
  ibrav = 0, nat = 8, ntyp = 3
/
ATOMIC_SPECIES
Sr 87.62 Sr.upf
Ca 40.08 Ca.upf
Mg 24.30 Mg.upf
CELL_PARAMETERS angstrom
-4.5780 4.5780 3.5637
4.5780 -4.5780 3.5637
4.5780 4.5780 -3.5637
ATOMIC_POSITIONS angstrom
Sr 0.0000 0.0000 0.0000
Sr 0.0000 4.5780 1.7819
Ca 4.5780 0.0000 1.7819
Ca 0.0000 0.0000 3.5637
Mg 2.2890 2.4057 -0.8909
Mg 6.7502 2.2890 0.8909
Mg 2.2890 2.1722 2.6728
Mg -2.1722 2.2890 4.4546
! SG: No. 122
! Energy relative to the elements in meV per atom: 226

Entry 4:
! Dy6Co2Ru (GGA-PBE, relaxed); values from VASP
&SYSTEM
  ibrav = 0, nat = 18, ntyp = 3
/
ATOMIC_SPECIES
Dy 162.50 Dy.upf
Co 58.93 Co.upf
Ru 101.07 Ru.upf
CELL_PARAMETERS angstrom
6.4991 0.0000 0.0000
0.0000 7.0238 0.0000
-6.1024 0.0000 9.6703
ATOMIC_POSITIONS angstrom
Dy -0.9922 0.2595 2.3327
Dy -4.0434 3.2524 7.1679
Dy 0.9989 4.6623 0.7749
Dy -2.0523 5.8733 5.6101
Dy 2.1074 1.1643 0.7442
Dy -0.9438 2.3476 5.5793
Dy 1.3405 4.6762 4.0910
Dy -1.7107 5.8595 8.9262
Dy 2.4490 1.1504 4.0602
Dy -0.6021 2.3615 8.8954
Dy 4.4402 3.7714 2.5024
Dy 1.3890 6.7643 7.3376
Co -2.7319 1.0479 7.7634
Co 0.3193 2.4640 2.9282
Co 0.0775 4.5598 6.7421
Co 3.1286 5.9759 1.9069
Ru 0.1984 0.0000 4.8352
Ru 3.2495 3.5119 0.0000
! SG: No. 14
! Excess energy over the best structure of this formula in the dataset in meV/atom: 49
! Energy relative to the elements in meV per atom: -170

Entry 5:
! BePH3O5 (GGA-PBE, relaxed); values from VASP
&SYSTEM
  ibrav = 0, nat = 40, ntyp = 4
/
ATOMIC_SPECIES
Be 9.01 Be.upf
P 30.97 P.upf
H 1.01 H.upf
O 16.00 O.upf
CELL_PARAMETERS angstrom
8.5970 0.0000 0.0000
0.0000 8.7204 0.0000
0.0000 0.0000 5.0310
ATOMIC_POSITIONS angstrom
Be 1.5275 0.7781 0.0000
Be 2.7710 5.1383 2.5155
Be 5.8259 3.5821 0.0000
Be 7.0695 7.9422 2.5155
P 1.6127 7.9615 2.5365
P 2.6858 3.6013 0.0209
P 5.9112 5.1191 2.5365
P 6.9843 0.7589 0.0209
H 0.0061 2.1025 1.3157
H 0.8846 5.3064 4.3079
H 0.8905 3.4413 1.7630
H 3.4080 7.8015 4.2785
H 3.4139 0.9462 1.7924
H 4.2923 6.4627 3.8312
H 4.3046 2.2577 1.3157
H 5.1830 7.7742 4.3079
H 5.1890 0.9189 1.7630
H 7.7065 5.2791 4.2785
H 7.7124 3.4140 1.7924
H 8.5908 6.6179 3.8312
O 0.0029 2.8862 1.9502
O 8.5941 5.8342 4.4657
O 0.0868 7.8571 2.6294
O 2.0760 0.3106 1.5013
O 2.0707 2.2530 4.7275
O 2.1415 8.4255 3.9445
O 2.1570 4.0653 1.4290
O 2.2224 4.6707 4.0168
O 2.2278 6.6132 2.2120
O 4.2117 3.4969 0.1139
O 4.3014 1.4740 1.9502
O 4.2956 7.2464 4.4657
O 4.3852 5.2235 2.6294
O 6.3691 2.1072 4.7275
O 6.3745 4.0496 1.5013
O 6.4400 4.6551 3.9445
O 6.4555 0.2949 1.4290
O 6.5263 6.4674 2.2120
O 6.5209 8.4098 4.0168
O 8.5102 0.8633 0.1139
! SG: No. 33
! Total energy in eV for the cell shown: -248.6

Entry 6:
! BaCoBr5 (GGA-PBE, relaxed); values from VASP
&SYSTEM
  ibrav = 0, nat = 14, ntyp = 3
/
ATOMIC_SPECIES
Ba 137.33 Ba.upf
Co 58.93 Co.upf
Br 79.90 Br.upf
CELL_PARAMETERS angstrom
5.8953 -5.4010 0.0000
5.8953 5.4010 0.0000
-5.7633 0.0000 10.1030
ATOMIC_POSITIONS angstrom
Ba 0.0000 0.0000 0.0000
Ba -2.8817 0.0000 5.0515
Co 1.5728 0.9459 7.5773
Co 4.4545 -0.9459 2.5258
Br 4.4545 4.2460 2.5258
Br 0.4084 2.2019 9.1591
Br 2.9838 0.4759 1.4056
Br 2.7372 2.2019 5.9954
Br 0.1021 -0.4759 6.4571
Br 5.9251 0.4759 3.6459
Br 3.2901 -2.2019 4.1076
Br 3.0435 -0.4759 8.6974
Br 5.6189 -2.2019 0.9439
Br 1.5728 -4.2460 7.5773
! SG: No. 15
! E_form (uncorrected) in eV/f.u.: -7.03

Entry 7:
! FeHg3W (GGA-PBE, relaxed); values from VASP
&SYSTEM
  ibrav = 0, nat = 5, ntyp = 3
/
ATOMIC_SPECIES
Fe 55.84 Fe.upf
Hg 200.59 Hg.upf
W 183.84 W.upf
CELL_PARAMETERS angstrom
4.9373 0.0000 0.0000
0.0000 4.9373 0.0000
0.0000 0.0000 4.9373
ATOMIC_POSITIONS angstrom
Fe 0.0000 0.0000 0.0000
Hg 0.0000 0.0000 2.4687
Hg 0.0000 2.4687 0.0000
Hg 2.4687 0.0000 0.0000
W 2.4687 2.4687 2.4687
! SG: No. 221
! Excess energy over the best structure of this formula in the dataset in meV/atom: 0
! Energy relative to the elements in meV per atom: 1553

Entry 8:
! CaLaAl (GGA-PBE, relaxed); values from VASP
&SYSTEM
  ibrav = 0, nat = 6, ntyp = 3
/
ATOMIC_SPECIES
Ca 40.08 Ca.upf
La 138.91 La.upf
Al 26.98 Al.upf
CELL_PARAMETERS angstrom
6.1593 0.0000 0.0000
-1.8576 6.0799 0.0000
-2.7555 -2.5924 5.1599
ATOMIC_POSITIONS angstrom
Ca 0.0211 1.6399 0.8736
Ca 1.5251 1.8477 4.2863
La 0.1502 -1.6386 3.7285
La 1.3959 5.1262 1.4313
Al -1.6219 1.1380 3.6150
Al 3.1680 2.3496 1.5448
! SG: No. 2
! Excess energy over the best structure of this formula in the dataset in meV/atom: 132
! Energy relative to the elements in meV per atom: -148

Number 1: total moment 2.0 μB per formula unit. Number 2: total moment 4.0 μB per formula unit. Number 3: total moment 0.0 μB per formula unit. Number 4: total moment 0.0 μB per formula unit. Number 5: total moment 0.0 μB per formula unit. Number 6: total moment 4.0 μB per formula unit. Number 7: total moment 6.0 μB per formula unit. Number 8: total moment 0.0 μB per formula unit.